A plane-wave DFT calculation with PBE-GGA was carried out for an optimized crystal structure of Ba4Nb4O11.

The calculation puts the total energy at -7.981 eV per atom. The energy relative to the lowest polymorph listed for this composition is 1.1 kJ per mole of atoms. As for the space-group type: Amm2 (38). Its crystal system is orthorhombic.

Cell: 5.8311 5.8319 8.2355 Å, 90.00 90.00 89.84°
Atoms (fractional coordinates):
O  0.9967  0.4960  0.2486
O  0.2513  0.7487  0.9996
O  0.2497  0.2494  0.9996
O  0.7507  0.7503  0.0004
O  0.7508  0.7508  0.4996
O  0.7492  0.2508  0.4996
O  0.9954  0.4963  0.7514
O  0.2508  0.7492  0.5003
O  0.5046  0.0040  0.7514
O  0.2492  0.2493  0.5004
O  0.5032  0.0039  0.2486
Nb  0.4991  0.9992  0.0000
Nb  0.0008  0.5009  0.0000
Nb  0.4995  0.9995  0.5000
Nb  0.0005  0.5005  0.5000
Ba  0.5001  0.4998  0.2505
Ba  0.9999  0.0000  0.2504
Ba  0.5002  0.5000  0.7495
Ba  0.9999  0.0003  0.7496